# 1
DFT (PBE) results for a relaxed structure of Pu2Hg8Bi.

The value obtained for the total energy is -3.2607 eV per atom. The calculation puts the density at 12.7 Mg/m³. The space group is P4/mmm (123). For the volume, the calculation gives 27.41 A^3/atom. The calculation puts the total magnetization at 12.2 μB per formula unit. The formation energy comes out at -0.083 eV/atom.

extended XYZ file:
```
11
Lattice="-4.262 -1.801 1.396 0.776 -3.932 -2.701 5.722 -5.763 10.032" Properties=species:S:1:pos:R:3 pbc="T T T"
Hg 0.110 -4.732 2.596
Hg 2.126 -6.764 6.131
Hg 0.730 -3.782 5.714
Hg 5.217 -6.830 7.116
Hg 1.281 -2.865 0.215
Hg 2.698 -5.764 9.165
Hg 3.249 -4.847 3.665
Hg -1.238 -1.800 2.264
Pu 1.853 -1.866 3.248
Pu 3.869 -3.897 6.784
Bi 0.000 0.000 0.000
```

# 2
DFT (PBE) results for a relaxed structure of Pu4Hg3Bi.

The value obtained for the total energy is -7.9356 eV per atom. The calculation puts the density at 13.8 Mg/m³. The space group is P4/mmm (123). For the volume, the calculation gives 26.80 A^3/atom. The calculation puts the total magnetization at 24.4 μB per formula unit. The formation energy comes out at -0.171 eV/atom.

extended XYZ file:
```
16
Lattice="-2.797 -1.902 -3.589 7.258 -2.411 -4.378 -0.073 -8.692 4.664" Properties=species:S:1:pos:R:3 pbc="T T T"
Hg 0.000 0.000 0.000
Hg -1.418 -3.125 -0.630
Hg 2.211 -4.330 -2.819
Hg -0.037 -4.346 2.332
Hg 2.176 -8.675 -0.485
Hg -1.452 -7.470 1.705
Bi 3.629 -1.205 -2.189
Bi 3.592 -5.551 0.143
Pu 1.774 -2.770 0.083
Pu 4.066 -2.766 -5.091
Pu 4.029 -7.112 -2.759
Pu 0.358 -5.893 -0.545
Pu 5.445 -3.989 -2.132
Pu 2.614 -10.236 -3.386
Pu -1.057 -9.016 -1.172
Pu 0.395 -1.547 -2.877
```

# 3
DFT (PBE) results for a relaxed structure of Pu4HgBi3.

The value obtained for the total energy is -8.9612 eV per atom. The calculation puts the density at 13.2 Mg/m³. The space group is Pmmm (47). For the volume, the calculation gives 28.43 A^3/atom. The calculation puts the total magnetization at 24.2 μB per formula unit. The formation energy comes out at -0.302 eV/atom.

extended XYZ file:
```
8
Lattice="3.372 0.000 0.000 0.000 5.816 0.000 0.000 0.000 11.598" Properties=species:S:1:pos:R:3 pbc="T T T"
Hg 1.686 2.908 0.000
Pu 0.000 0.000 0.000
Pu 0.000 2.908 2.900
Pu 0.000 0.000 5.799
Pu 0.000 2.908 8.698
Bi 1.686 0.000 8.742
Bi 1.686 2.908 5.799
Bi 1.686 0.000 2.857
```

# 4
DFT (PBE) results for a relaxed structure of Pu3HgBi5.

The value obtained for the total energy is -7.1083 eV per atom. The calculation puts the density at 12.3 Mg/m³. The space group is P-62m (189). For the volume, the calculation gives 29.65 A^3/atom. The calculation puts the total magnetization at 17.8 μB per formula unit. The formation energy comes out at -0.141 eV/atom.

extended XYZ file:
```
9
Lattice="-0.552 1.254 -3.145 -8.393 -4.394 -0.280 0.619 8.822 3.409" Properties=species:S:1:pos:R:3 pbc="T T T"
Bi -6.218 -2.484 -1.771
Bi 0.162 6.873 0.841
Bi -2.661 5.044 0.607
Bi -2.546 1.920 -0.659
Bi -5.665 0.638 -0.623
Pu -4.954 2.821 1.994
Pu 0.225 3.200 1.237
Pu -3.045 -1.594 -0.102
Hg 0.000 0.000 0.000
```

Q: Which value of formation energy does entry 4 give?
A: -0.141 eV/atom

Q: What is the total energy in the second record?
A: -7.9356 eV per atom